DFT (PBE) results for a geometry-optimized PuMnSiOs structure.

The space group is F-43m (No. 216) and the conventional cell measures 6.295, 6.295 and 6.295 Å, with angles of 90.00, 90.00 and 90.00 degrees. The inequivalent atoms are Pu at (0.000, 0.000, 0.000), Mn at (0.250, 0.250, 0.750), Si at (0.000, 0.000, 0.500) and Os at (0.250, 0.250, 0.250).

For the uncorrected formation energy, the calculation gives -0.092 eV/atom. The size of the total moment comes out at 2.72 μB/f.u.